# 1
This record from the Alexandria database describes a relaxed BaPt2O4 crystal. The functional is PBE-GGA.

The structure in POSCAR format:
```
BaPt2O4
1.0
-3.1994 3.1994 5.2540
3.1994 -3.1994 5.2540
3.1994 3.1994 -5.2540
Ba Pt O
2 4 8
direct
0.3750 0.1250 0.2500 Ba
0.6250 0.8750 0.7500 Ba
0.0000 0.0000 0.5000 Pt
0.0000 0.5000 0.0000 Pt
0.0000 0.5000 0.5000 Pt
0.5000 0.5000 0.0000 Pt
0.0084 0.6757 0.8552 O
0.1757 0.8205 0.6673 O
0.3205 0.1532 0.6448 O
0.3468 0.4916 0.1673 O
0.6532 0.5084 0.8327 O
0.6795 0.8468 0.3552 O
0.8243 0.1795 0.3327 O
0.9916 0.3243 0.1448 O
```

Output
The value obtained for the total energy is -84.8 eV for the cell shown. As for the size of the total moment: 0.000 μB per formula unit. The density of states at the Fermi level comes out at 0.727 states/eV per atom. For the energy relative to the elements, uncorrected, the calculation gives -1.22 eV per atom. The symmetry is I4_1/a.


# 2
This record from the Alexandria database describes a relaxed MgSbAs2 crystal. The functional is PBE-GGA.

The structure in POSCAR format:
```
MgSbAs2
1.0
3.1675 -3.7212 0.0000
3.1675 3.7212 0.0000
0.0000 0.0000 3.6502
Mg Sb As
1 1 2
direct
0.0000 0.0000 0.0000 Mg
0.5000 0.5000 0.0000 Sb
0.0000 0.5000 0.5000 As
0.5000 0.0000 0.5000 As
```

Output
The value obtained for the total energy is -14.8 eV for the cell shown. As for the size of the total moment: 0.000 μB per formula unit. The excess energy over the best structure of this formula in the dataset is 0.2263 eV per atom. The density of states at the Fermi level comes out at 0.589 states/eV per atom. For the energy relative to the elements, uncorrected, the calculation gives 0.06 eV per atom. The symmetry is Cmmm.


# 3
This record from the Alexandria database describes a relaxed TlGaFeTe2 crystal. The functional is PBE-GGA.

The structure in POSCAR format:
```
TlGaFeTe2
1.0
5.2215 0.0000 0.0000
0.0000 5.2215 0.0000
0.0000 0.0000 4.6245
Tl Ga Fe Te
1 1 1 2
direct
0.0000 0.0000 0.0000 Tl
0.5000 0.5000 0.0000 Ga
0.5000 0.5000 0.5000 Fe
0.0000 0.5000 0.5000 Te
0.5000 0.0000 0.5000 Te
```

Output
The value obtained for the total energy is -19.7 eV for the cell shown. As for the size of the total moment: 2.439 μB per formula unit. The density of states at the Fermi level comes out at 0.921 states/eV per atom. For the energy relative to the elements, uncorrected, the calculation gives 0.08 eV per atom. The symmetry is P4/mmm.


# 4
This record from the Alexandria database describes a relaxed Sr3Pb4 crystal. The functional is PBE-GGA.

The structure in POSCAR format:
```
Sr3Pb4
1.0
6.1467 -2.5174 0.0000
6.1467 2.5174 0.0000
-0.0018 0.0000 16.5600
Sr Pb
6 8
direct
0.0000 0.0000 0.0000 Sr
0.9999 0.9999 0.3032 Sr
0.2742 0.2742 0.1517 Sr
0.3381 0.3381 0.6515 Sr
0.6124 0.6124 0.8033 Sr
0.6125 0.6125 0.4999 Sr
0.0621 0.0621 0.6517 Pb
0.3063 0.3063 0.4015 Pb
0.3069 0.3069 0.9022 Pb
0.5500 0.5500 0.1517 Pb
0.7109 0.7109 0.0073 Pb
0.7111 0.7111 0.2959 Pb
0.9014 0.9014 0.5072 Pb
0.9009 0.9009 0.7959 Pb
```

Output
The value obtained for the total energy is -46.4 eV for the cell shown. As for the size of the total moment: 0.000 μB per formula unit. The excess energy over the best structure of this formula in the dataset is 0.0000 eV per atom. The density of states at the Fermi level comes out at 0.700 states/eV per atom. The symmetry is Cm. As for the energy of formation: -46.01 kJ/mol of atoms.


> size of the total moment of number 2 (MgSbAs2)?

0.000 μB per formula unit